# 1
# PmSmNCl

A relaxed PmSmNCl crystal (PBE-GGA, Alexandria via LeMat-Bulk).

a = 3.6476 Å, b = 3.6476 Å, c = 21.0322 Å
α = 90.00°, β = 90.00°, γ = 120.00°
With the nearest neighbours (Å) after each atom.
Sites, in units of the cell vectors:
Pm: 0.0000 0.0000 0.0000  3 N 2.54
Pm: 0.3333 0.6667 0.6667  3 N 2.54
Pm: 0.6667 0.3333 0.3333  3 N 2.54
Sm: 0.0000 0.0000 0.2079  3 N 2.43
Sm: 0.3333 0.6667 0.8746  3 N 2.43
Sm: 0.6667 0.3333 0.5412  3 N 2.43
N: 0.0000 0.0000 0.5989  3 Sm 2.43, 3 Pm 2.54
N: 0.3333 0.6667 0.2655  3 Sm 2.43, 3 Pm 2.54
N: 0.6667 0.3333 0.9322  3 Sm 2.43, 3 Pm 2.54
Cl: 0.0000 0.0000 0.7714  3 Sm 3.02, 3 Pm 3.05
Cl: 0.3333 0.6667 0.4380  3 Sm 3.02, 3 Pm 3.05
Cl: 0.6667 0.3333 0.1047  3 Sm 3.02, 3 Pm 3.05

Output
- Electronic total energy: -6.46 eV per atom
- Space-group type: No. 160
- E_form (uncorrected): -1.55 eV/atom



# 2
# Sr2PmN2Cl2

A relaxed Sr2PmN2Cl2 crystal (PBE-GGA, Alexandria via LeMat-Bulk).

a = 4.5878 Å, b = 4.5878 Å, c = 15.1813 Å
α = 90.00°, β = 90.00°, γ = 90.00°
With the nearest neighbours (Å) after each atom.
Sites, in units of the cell vectors:
Sr: 0.0000 0.0000 0.1103  4 N 2.84, 1 Cl 3.06
Sr: 0.0000 0.0000 0.8897  4 N 2.84, 1 Cl 3.06
Sr: 0.5000 0.5000 0.3897  4 N 2.84, 1 Cl 3.06
Sr: 0.5000 0.5000 0.6103  4 N 2.84, 1 Cl 3.06
Pm: 0.0000 0.0000 0.5000  4 N 2.29
Pm: 0.5000 0.5000 0.0000  4 N 2.29
N: 0.0000 0.5000 0.0000  2 Pm 2.29
N: 0.0000 0.5000 0.5000  2 Pm 2.29
N: 0.5000 0.0000 0.0000  2 Pm 2.29
N: 0.5000 0.0000 0.5000  2 Pm 2.29
Cl: 0.0000 0.0000 0.3116  1 Pm 2.86, 1 Sr 3.06
Cl: 0.0000 0.0000 0.6884  1 Pm 2.86, 1 Sr 3.06
Cl: 0.5000 0.5000 0.1884  1 Pm 2.86, 1 Sr 3.06
Cl: 0.5000 0.5000 0.8116  1 Pm 2.86, 1 Sr 3.06

Output
- Electronic total energy: -5.50 eV per atom
- Space-group type: No. 139
- E_form (uncorrected): -1.43 eV/atom



# 3
# Pr2NCl2

A relaxed Pr2NCl2 crystal (PBE-GGA, Alexandria via LeMat-Bulk).

a = 9.8437 Å, b = 9.8437 Å, c = 7.6943 Å
α = 99.29°, β = 99.29°, γ = 24.00°
With the nearest neighbours (Å) after each atom.
Sites, in units of the cell vectors:
Pr: 0.1683 0.1683 0.3603  1 N 2.25
Pr: 0.3271 0.3271 0.0637  3 N 2.33-2.46
Pr: 0.6729 0.6729 0.9363  3 N 2.33-2.46
Pr: 0.8317 0.8317 0.6397  1 N 2.25
N: 0.2094 0.2094 0.1032  4 Pr 2.25-2.46
N: 0.7906 0.7906 0.8968  4 Pr 2.25-2.46
Cl: 0.1031 0.1031 0.6854  3 Pr 2.98
Cl: 0.4255 0.4255 0.7893  3 Pr 2.84-3.06
Cl: 0.5745 0.5745 0.2107  3 Pr 2.84-3.06
Cl: 0.8969 0.8969 0.3146  3 Pr 2.98

Output
- Electronic total energy: -6.05 eV per atom
- Space-group type: No. 12
- E_form (uncorrected): -1.73 eV/atom



# 4
# Pr4N2Cl

A relaxed Pr4N2Cl crystal (PBE-GGA, Alexandria via LeMat-Bulk).

a = 13.7863 Å, b = 13.7863 Å, c = 13.7863 Å
α = 15.46°, β = 15.46°, γ = 15.46°
With the nearest neighbours (Å) after each atom.
Sites, in units of the cell vectors:
Pr: 0.1216 0.1216 0.1216  3 N 2.57
Pr: 0.2786 0.2786 0.2786  3 N 2.51
Pr: 0.7214 0.7214 0.7214  3 N 2.51
Pr: 0.8784 0.8784 0.8784  3 N 2.57
N: 0.4201 0.4201 0.4201  6 Pr 2.51-2.57
N: 0.5799 0.5799 0.5799  6 Pr 2.51-2.57
Cl: 0.0000 0.0000 0.0000  6 Pr 3.10

Output
- Electronic total energy: -6.59 eV per atom
- Space-group type: No. 166
- E_form (uncorrected): -1.22 eV/atom



# 5
# Pr2NCl3

A relaxed Pr2NCl3 crystal (PBE-GGA, Alexandria via LeMat-Bulk).

a = 8.2932 Å, b = 8.2932 Å, c = 8.2932 Å
α = 130.67°, β = 68.17°, γ = 136.08°
With the nearest neighbours (Å) after each atom.
Sites, in units of the cell vectors:
Pr: 0.0932 0.1759 0.2691  2 N 2.35
Pr: 0.4068 0.6759 0.0828  2 N 2.35
Pr: 0.5932 0.3241 0.9172  2 N 2.35
Pr: 0.9068 0.8241 0.7309  2 N 2.35
N: 0.2500 0.2500 0.0000  4 Pr 2.35
N: 0.7500 0.7500 0.0000  4 Pr 2.35
Cl: 0.2031 0.8257 0.0288  2 Pr 2.86-2.98
Cl: 0.2500 0.7500 0.5000  4 Pr 3.01, 2 Cl 3.10
Cl: 0.2969 0.3257 0.6226  2 Pr 2.86-2.98
Cl: 0.7031 0.6743 0.3774  2 Pr 2.86-2.98
Cl: 0.7500 0.2500 0.5000  4 Pr 3.01, 2 Cl 3.10
Cl: 0.7969 0.1743 0.9712  2 Pr 2.86-2.98

Output
- Electronic total energy: -5.98 eV per atom
- Space-group type: No. 72
- E_form (uncorrected): -2.07 eV/atom



# 6
# Pr2N2Cl

A relaxed Pr2N2Cl crystal (PBE-GGA, Alexandria via LeMat-Bulk).

a = 4.0560 Å, b = 4.0560 Å, c = 7.3440 Å
α = 90.00°, β = 90.00°, γ = 120.00°
With the nearest neighbours (Å) after each atom.
Sites, in units of the cell vectors:
Pr: 0.3333 0.6667 0.3033  4 N 2.39-2.40
Pr: 0.6667 0.3333 0.6967  4 N 2.39-2.40
N: 0.3333 0.6667 0.6302  4 Pr 2.39-2.40
N: 0.6667 0.3333 0.3698  4 Pr 2.39-2.40
Cl: 0.0000 0.0000 0.0000  6 Pr 3.23, 6 N 3.59

Output
- Electronic total energy: -6.98 eV per atom
- Space-group type: No. 164
- E_form (uncorrected): -1.37 eV/atom



Question: The lowest electronic total energy belongs to which entry?
Answer: Pr2N2Cl